Entry 1:
Compound: HgPdBr2
Source: Alexandria via LeMat-Bulk
Functional: PBE-GGA
Structure: optimized geometry

Unit cell a=9.3544 b=9.3544 c=7.1476 alpha=49.13 beta=49.13 gamma=90.00
Positions (direct):
Br  0.4756  0.1250  0.2500
Br  0.2744  0.6250  0.2500
Br  0.3750  0.5244  0.7500
Br  0.8750  0.7256  0.7500
Hg  0.0000  0.0000  0.0000
Hg  0.7500  0.2500  0.5000
Pd  0.5000  0.5000  0.0000
Pd  0.2500  0.7500  0.5000

* DFT total energy: -2.376 eV per atom
* space group: I-42d (122)

---

Entry 2:
Compound: HgPdBr2
Source: Alexandria via LeMat-Bulk
Functional: PBE-GGA
Structure: optimized geometry

Unit cell a=5.0658 b=5.0658 c=5.0658 alpha=60.00 beta=60.00 gamma=60.00
Positions (direct):
Br  0.2500  0.2500  0.2500
Br  0.7500  0.7500  0.7500
Hg  0.5000  0.5000  0.5000
Pd  0.0000  0.0000  0.0000

* DFT total energy: -1.984 eV per atom
* space group: Fm-3m (225)

---

Entry 3:
Compound: HgPdBr3
Source: Alexandria via LeMat-Bulk
Functional: PBE-GGA
Structure: optimized geometry

Unit cell a=5.1724 b=5.1724 c=5.1724 alpha=90.00 beta=90.00 gamma=90.00
Positions (direct):
Br  0.0000  0.5000  0.0000
Br  0.0000  0.0000  0.5000
Br  0.5000  0.0000  0.0000
Hg  0.5000  0.5000  0.5000
Pd  0.0000  0.0000  0.0000

* DFT total energy: -2.201 eV per atom
* space group: Pm-3m (221)

---

Entry 4:
Compound: Hg2PdBr
Source: Alexandria via LeMat-Bulk
Functional: PBE-GGA
Structure: optimized geometry

Unit cell a=5.0900 b=5.0900 c=5.0900 alpha=60.00 beta=60.00 gamma=60.00
Positions (direct):
Br  0.0000  0.0000  0.0000
Hg  0.2500  0.2500  0.2500
Hg  0.7500  0.7500  0.7500
Pd  0.5000  0.5000  0.5000

* DFT total energy: -1.564 eV per atom
* space group: Fm-3m (225)

---

no.,total magnetization (μB per formula unit),distance to the lowest polymorph of the same formula (meV per atom)
1,0.0,0
2,0.0,392
3,0.0,0
4,0.0,211